1.
! ZrSb2Pd | Alexandria via LeMat-Bulk | PBE-GGA | relaxed; values from VASP
&SYSTEM
  ibrav = 0, nat = 12, ntyp = 3
/
ATOMIC_SPECIES
Zr 91.22 Zr.upf
Sb 121.76 Sb.upf
Pd 106.42 Pd.upf
CELL_PARAMETERS angstrom
3.2904 0.0000 0.0000
-1.6452 2.8495 0.0000
0.0000 0.0000 29.8767
ATOMIC_POSITIONS crystal
Zr 0.0000 0.0000 0.0000
Zr 0.3333 0.6667 0.6667
Zr 0.6667 0.3333 0.3333
Sb 0.0000 0.0000 0.0982
Sb 0.0000 0.0000 0.9018
Sb 0.3333 0.6667 0.5685
Sb 0.3333 0.6667 0.7649
Sb 0.6667 0.3333 0.2351
Sb 0.6667 0.3333 0.4315
Pd 0.0000 0.0000 0.5000
Pd 0.3333 0.6667 0.1667
Pd 0.6667 0.3333 0.8333
! Magnetic moment, μB/cell: 0.000
! Formation energy without anion corrections, eV per atom: -0.03


2.
! Li2CaTe | Alexandria via LeMat-Bulk | PBE-GGA | relaxed; values from VASP
&SYSTEM
  ibrav = 0, nat = 4, ntyp = 3
/
ATOMIC_SPECIES
Li 6.94 Li.upf
Ca 40.08 Ca.upf
Te 127.60 Te.upf
CELL_PARAMETERS angstrom
4.1708 0.0000 0.0000
0.0000 4.7950 0.0000
-0.5309 0.0000 5.3976
ATOMIC_POSITIONS crystal
Li 0.0719 0.0000 0.2586
Li 0.9281 0.0000 0.7414
Ca 0.5000 0.5000 0.0000
Te 0.0000 0.5000 0.5000
! Magnetic moment, μB/cell: 0.000
! Formation energy without anion corrections, eV per atom: -0.63


3.
! SrPb2Br | Alexandria via LeMat-Bulk | PBE-GGA | relaxed; values from VASP
&SYSTEM
  ibrav = 0, nat = 4, ntyp = 3
/
ATOMIC_SPECIES
Sr 87.62 Sr.upf
Pb 207.20 Pb.upf
Br 79.90 Br.upf
CELL_PARAMETERS angstrom
3.9315 0.0000 0.0000
0.0000 5.9474 0.0000
0.0000 0.0000 6.0640
ATOMIC_POSITIONS crystal
Sr 0.0000 0.0000 0.0000
Pb 0.5000 0.5000 0.2415
Pb 0.5000 0.5000 0.7585
Br 0.0000 0.0000 0.5000
! Magnetic moment, μB/cell: 0.000
! Formation energy without anion corrections, eV per atom: -0.52